(1)
VASP calculation (PBE) on an optimized crystal structure of SrMg4ZnCd2.

Lattice parameters (Å, degrees): 4.8884 4.8884 9.9578 75.79 75.79 60.00
Last column: nearest neighbours and their distance in Å.
Positions (direct):
1 Mg 0.5943 0.5943 0.2172  1 Zn 2.70, 3 Cd 2.84
2 Mg 0.4057 0.4057 0.7828  1 Zn 2.70, 3 Cd 2.84
3 Mg 0.8651 0.8651 0.4046  3 Zn 2.97, 3 Cd 3.20
4 Mg 0.1349 0.1349 0.5954  3 Zn 2.97, 3 Cd 3.20
5 Zn 0.5000 0.5000 0.5000  8 Mg 2.70-2.97
6 Sr 0.0000 0.0000 0.0000  8 Mg 3.50-3.86, 6 Cd 3.67
7 Cd 0.7487 0.7487 0.7539  3 Mg 2.84
8 Cd 0.2513 0.2513 0.2461  3 Mg 2.84

DFT total energy   -1.499 eV per atom

---

(2)
VASP calculation (PBE) on an optimized crystal structure of SrMg8Zn2Cd.

Lattice parameters (Å, degrees): 5.1888 5.1888 11.5729 95.52 95.52 69.43
Last column: nearest neighbours and their distance in Å.
Positions (direct):
1 Mg 0.3358 0.3358 0.4059  2 Mg 2.96, 4 Zn 2.97-3.30, 1 Sr 3.18
2 Mg 0.6642 0.6642 0.5941  2 Mg 2.96, 4 Zn 2.97-3.30, 1 Sr 3.18
3 Mg 0.3306 0.3306 0.9547  1 Cd 2.93, 5 Mg 2.96-3.25
4 Mg 0.1830 0.6884 0.2065  2 Zn 2.85-3.18, 1 Cd 2.91, 4 Mg 2.92-3.13
5 Mg 0.8170 0.3116 0.7935  2 Zn 2.85-3.18, 1 Cd 2.91, 4 Mg 2.92-3.13
6 Mg 0.6694 0.6694 0.0453  1 Cd 2.93, 5 Mg 2.96-3.25
7 Mg 0.3116 0.8170 0.7935  2 Zn 2.85-3.18, 1 Cd 2.91, 4 Mg 2.92-3.13
8 Mg 0.6884 0.1830 0.2065  2 Zn 2.85-3.18, 1 Cd 2.91, 4 Mg 2.92-3.13
9 Zn 0.6782 0.6782 0.3388  6 Mg 2.85-3.18, 1 Sr 3.13
10 Zn 0.3218 0.3218 0.6612  6 Mg 2.85-3.18, 1 Sr 3.13
11 Sr 0.0000 0.0000 0.5000  2 Zn 3.13, 6 Mg 3.18-3.39
12 Cd 0.0000 0.0000 0.0000  6 Mg 2.91-2.93

DFT total energy   -1.464 eV per atom

---

(3)
VASP calculation (PBE) on an optimized crystal structure of Sr2Mg12Zn3Cd.

Lattice parameters (Å, degrees): 8.7920 8.7920 8.7920 66.01 66.01 66.01
Last column: nearest neighbours and their distance in Å.
Positions (direct):
1 Mg 0.9222 0.3268 0.3268  2 Zn 2.59
2 Mg 0.1285 0.6263 0.1285  1 Zn 2.62, 1 Cd 2.89
3 Mg 0.3268 0.3268 0.9222  2 Zn 2.59
4 Mg 0.6732 0.0778 0.6732  2 Zn 2.59
5 Mg 0.0778 0.6732 0.6732  2 Zn 2.59
6 Mg 0.8715 0.8715 0.3737  1 Zn 2.62, 1 Cd 2.89
7 Mg 0.3737 0.8715 0.8715  1 Zn 2.62, 1 Cd 2.89
8 Mg 0.1285 0.1285 0.6263  1 Zn 2.62, 1 Cd 2.89
9 Mg 0.6732 0.6732 0.0778  2 Zn 2.59
10 Mg 0.6263 0.1285 0.1285  1 Zn 2.62, 1 Cd 2.89
11 Mg 0.8715 0.3737 0.8715  1 Zn 2.62, 1 Cd 2.89
12 Mg 0.3268 0.9222 0.3268  2 Zn 2.59
13 Cd 0.0000 0.0000 0.0000  6 Mg 2.89
14 Zn 0.0000 0.0000 0.5000  6 Mg 2.59-2.62
15 Zn 0.5000 0.0000 0.0000  6 Mg 2.59-2.62
16 Zn 0.0000 0.5000 0.0000  6 Mg 2.59-2.62
17 Sr 0.5986 0.5986 0.5986  6 Mg 3.52-3.62
18 Sr 0.4014 0.4014 0.4014  6 Mg 3.52-3.62

DFT total energy   -1.276 eV per atom

---

(4)
VASP calculation (PBE) on an optimized crystal structure of SrMgZn2Cd.

Lattice parameters (Å, degrees): 5.1272 5.2938 5.1272 90.00 90.00 90.00
Last column: nearest neighbours and their distance in Å.
Positions (direct):
1 Mg 0.0000 0.0000 0.0000  4 Zn 2.56, 2 Cd 2.65
2 Cd 0.0000 0.5000 0.0000  2 Mg 2.65
3 Sr 0.5000 0.5000 0.5000  4 Cd 3.63, 8 Zn 3.68
4 Zn 0.0000 0.0000 0.5000  2 Mg 2.56
5 Zn 0.5000 0.0000 0.0000  2 Mg 2.56

ΔE to the lowest computed polymorph   301.1 meV/atom

---

(5)
VASP calculation (PBE) on an optimized crystal structure of Sr2MgZn4Cd3.

Lattice parameters (Å, degrees): 4.4637 4.4637 12.1454 90.00 90.00 90.00
Last column: nearest neighbours and their distance in Å.
Positions (direct):
1 Cd 0.5000 0.0000 0.8650  5 Zn 2.71-2.77
2 Cd 0.0000 0.5000 0.1350  5 Zn 2.71-2.77
3 Cd 0.0000 0.0000 0.5000  4 Zn 2.82, 4 Mg 3.16
4 Sr 0.0000 0.5000 0.7523  8 Zn 3.43-3.75, 6 Cd 3.44-3.79, 2 Mg 3.79
5 Sr 0.5000 0.0000 0.2477  8 Zn 3.43-3.75, 6 Cd 3.44-3.79, 2 Mg 3.79
6 Zn 0.0000 0.5000 0.3581  3 Cd 2.71-2.82, 2 Mg 2.82
7 Zn 0.5000 0.5000 0.0000  4 Cd 2.77
8 Zn 0.5000 0.0000 0.6419  3 Cd 2.71-2.82, 2 Mg 2.82
9 Zn 0.0000 0.0000 0.0000  4 Cd 2.77
10 Mg 0.5000 0.5000 0.5000  4 Zn 2.82, 4 Cd 3.16

DFT total energy   -1.492 eV per atom

---

(6)
VASP calculation (PBE) on an optimized crystal structure of MgTa2Cd.

Lattice parameters (Å, degrees): 7.7798 7.7798 6.1284 50.60 50.60 90.00
Last column: nearest neighbours and their distance in Å.
Positions (direct):
1 Ta 0.6295 0.1250 0.2500  2 Ta 2.70, 2 Cd 2.81, 2 Mg 2.86
2 Ta 0.1205 0.6250 0.2500  2 Ta 2.70, 2 Cd 2.81, 2 Mg 2.86
3 Ta 0.3750 0.3705 0.7500  2 Ta 2.70, 2 Cd 2.81, 2 Mg 2.86
4 Ta 0.8750 0.8795 0.7500  2 Ta 2.70, 2 Cd 2.81, 2 Mg 2.86
5 Cd 0.0000 0.0000 0.0000  2 Mg 2.70, 4 Ta 2.81
6 Cd 0.7500 0.2500 0.5000  2 Mg 2.70, 4 Ta 2.81
7 Mg 0.5000 0.5000 0.0000  2 Cd 2.70, 4 Ta 2.86
8 Mg 0.2500 0.7500 0.5000  2 Cd 2.70, 4 Ta 2.86

ΔE to the lowest computed polymorph   790.2 meV/atom

---

(7)
VASP calculation (PBE) on an optimized crystal structure of Mg2TaCd.

Lattice parameters (Å, degrees): 10.4079 10.4079 10.4079 16.75 16.75 16.75
Last column: nearest neighbours and their distance in Å.
Positions (direct):
1 Ta 0.5002 0.5002 0.5002  6 Ta 3.03, 3 Mg 3.04, 3 Cd 3.08
2 Mg 0.0010 0.0010 0.0010  9 Mg 3.03-3.19, 3 Cd 3.11
3 Mg 0.2477 0.2477 0.2477  9 Mg 3.03-3.19, 3 Ta 3.04
4 Cd 0.7512 0.7512 0.7512  6 Cd 3.03, 3 Ta 3.08, 3 Mg 3.11

DFT total energy   -3.782 eV per atom

---

(8)
VASP calculation (PBE) on an optimized crystal structure of MgTaCd.

Lattice parameters (Å, degrees): 4.7221 4.7221 3.0256 90.00 90.00 120.00
Last column: nearest neighbours and their distance in Å.
Positions (direct):
1 Mg 0.3333 0.6667 0.1661  3 Cd 2.73, 2 Mg 3.03
2 Cd 0.0000 0.0000 0.1670  3 Mg 2.73, 2 Cd 3.03
3 Ta 0.6667 0.3333 0.6668  2 Ta 3.03, 6 Mg 3.12, 6 Cd 3.12

DFT total energy   -4.357 eV per atom

---

(9)
VASP calculation (PBE) on an optimized crystal structure of MgTa2Cd.

Lattice parameters (Å, degrees): 5.7610 5.7610 2.8980 81.33 81.33 123.15
Last column: nearest neighbours and their distance in Å.
Positions (direct):
1 Ta 0.0000 0.0000 0.0000  4 Ta 2.74-2.90, 2 Mg 3.02, 2 Cd 3.02
2 Ta 0.5000 0.5000 0.0000  4 Ta 2.74-2.90, 2 Cd 3.02, 2 Mg 3.02
3 Cd 0.5000 0.0000 0.5000  2 Mg 2.74, 2 Cd 2.90, 4 Ta 3.02
4 Mg 0.0000 0.5000 0.5000  2 Cd 2.74, 2 Mg 2.90, 4 Ta 3.02

ΔE to the lowest computed polymorph   197.1 meV/atom

---

(10)
VASP calculation (PBE) on an optimized crystal structure of MgTaCd2.

Lattice parameters (Å, degrees): 4.3382 4.3355 4.1641 90.00 90.00 90.00
Last column: nearest neighbours and their distance in Å.
Positions (direct):
1 Ta 0.0000 0.5000 0.5000  8 Cd 3.01, 4 Mg 3.07
2 Cd 0.5000 0.5000 0.0000  4 Mg 3.01, 4 Ta 3.01, 4 Cd 3.07
3 Cd 0.0000 0.0000 0.0000  4 Ta 3.01, 4 Mg 3.01, 4 Cd 3.07
4 Mg 0.5000 0.0000 0.5000  8 Cd 3.01, 4 Ta 3.07

DFT total energy   -3.563 eV per atom

---

(11)
VASP calculation (PBE) on an optimized crystal structure of Mg2TaCd.

Lattice parameters (Å, degrees): 2.9399 4.4651 6.1115 90.00 90.00 90.00
Last column: nearest neighbours and their distance in Å.
Positions (direct):
1 Mg 0.5000 0.5000 0.2618  2 Cd 2.92-3.19, 6 Mg 2.94-3.11, 4 Ta 3.04
2 Mg 0.0000 0.0000 0.0011  6 Mg 2.94-3.11, 2 Ta 3.04-3.08, 4 Cd 3.12
3 Ta 0.0000 0.0000 0.4979  2 Ta 2.94, 6 Mg 3.04-3.08, 4 Cd 3.05
4 Cd 0.5000 0.5000 0.7391  6 Mg 2.92-3.19, 2 Cd 2.94, 4 Ta 3.05

DFT total energy   -3.711 eV per atom

---

(12)
VASP calculation (PBE) on an optimized crystal structure of MgTaCd2.

Lattice parameters (Å, degrees): 10.5325 10.5325 10.5325 16.50 16.50 16.50
Last column: nearest neighbours and their distance in Å.
Positions (direct):
1 Ta 0.7511 0.7511 0.7511  3 Mg 3.01, 6 Ta 3.02, 3 Cd 3.07
2 Mg 0.4966 0.4966 0.4966  3 Ta 3.01, 6 Mg 3.02, 3 Cd 3.19
3 Cd 0.2488 0.2488 0.2488  9 Cd 3.02-3.25, 3 Mg 3.19
4 Cd 0.0035 0.0035 0.0035  9 Cd 3.02-3.25, 3 Ta 3.07

DFT total energy   -3.608 eV per atom

---

(13)
VASP calculation (PBE) on an optimized crystal structure of MgTa2Cd.

Lattice parameters (Å, degrees): 5.1567 5.1567 5.4920 81.88 81.88 32.58
Last column: nearest neighbours and their distance in Å.
Positions (direct):
1 Ta 0.9902 0.9902 0.0362  5 Ta 2.78-2.93, 2 Cd 3.06, 1 Mg 3.11
2 Ta 0.2557 0.2557 0.2107  5 Ta 2.78-2.93, 2 Mg 3.02
3 Mg 0.7497 0.7497 0.7305  3 Cd 2.83-2.98, 2 Mg 2.89, 3 Ta 3.02-3.11
4 Cd 0.5044 0.5044 0.5226  3 Mg 2.83-2.98, 2 Cd 2.89, 6 Ta 3.06-3.16

ΔE to the lowest computed polymorph   186.4 meV/atom

---

(14)
VASP calculation (PBE) on an optimized crystal structure of Mg2TaCd.

Lattice parameters (Å, degrees): 5.7206 5.7934 2.8265 79.95 81.91 117.35
Last column: nearest neighbours and their distance in Å.
Positions (direct):
1 Mg 0.5000 0.0000 0.5000  4 Mg 2.83-3.01, 2 Ta 2.99, 2 Cd 2.99
2 Mg 0.0000 0.0000 0.0000  4 Mg 2.83-3.01, 2 Cd 2.99, 2 Ta 2.99
3 Cd 0.5000 0.5000 0.0000  2 Cd 2.83, 4 Mg 2.99, 2 Ta 3.01
4 Ta 0.0000 0.5000 0.5000  2 Ta 2.83, 4 Mg 2.99, 2 Cd 3.01

DFT total energy   -3.770 eV per atom

---

(15)
VASP calculation (PBE) on an optimized crystal structure of MgTaCd2.

Lattice parameters (Å, degrees): 5.3843 5.3843 5.3843 133.65 133.65 67.64
Last column: nearest neighbours and their distance in Å.
Positions (direct):
1 Ta 0.7500 0.2500 0.5000  8 Cd 3.00-3.08, 4 Mg 3.08
2 Cd 0.0000 0.0000 0.0000  4 Mg 3.00, 4 Cd 3.08, 4 Ta 3.08
3 Cd 0.2500 0.7500 0.5000  4 Ta 3.00, 4 Cd 3.08, 4 Mg 3.08
4 Mg 0.5000 0.5000 0.0000  8 Cd 3.00-3.08, 4 Ta 3.08

DFT total energy   -3.376 eV per atom

---

(16)
VASP calculation (PBE) on an optimized crystal structure of MgTaCd3.

Lattice parameters (Å, degrees): 5.4074 5.4074 5.4074 90.00 90.00 90.00
Last column: nearest neighbours and their distance in Å.
Positions (direct):
1 Cd 0.0000 0.5000 0.0000  2 Ta 2.70
2 Cd 0.0000 0.0000 0.5000  2 Ta 2.70
3 Cd 0.5000 0.0000 0.0000  2 Ta 2.70
4 Mg 0.5000 0.5000 0.5000  12 Cd 3.82
5 Ta 0.0000 0.0000 0.0000  6 Cd 2.70

ΔE to the lowest computed polymorph   0.0 meV/atom

---

(17)
VASP calculation (PBE) on an optimized crystal structure of MgTaCd2.

Lattice parameters (Å, degrees): 5.0181 5.0181 3.1563 90.00 90.00 90.00
Last column: nearest neighbours and their distance in Å.
Positions (direct):
1 Cd 0.5000 0.5000 0.0000  4 Ta 2.96, 4 Mg 2.96, 2 Cd 3.16
2 Cd 0.0000 0.0000 0.0000  4 Ta 2.96, 4 Mg 2.96, 2 Cd 3.16
3 Ta 0.0000 0.5000 0.5000  8 Cd 2.96, 2 Ta 3.16
4 Mg 0.5000 0.0000 0.5000  8 Cd 2.96, 2 Mg 3.16

DFT total energy   -3.530 eV per atom

---

(18)
VASP calculation (PBE) on an optimized crystal structure of Mg2TaCd.

Lattice parameters (Å, degrees): 4.7377 2.9183 5.8609 80.07 90.00 90.00
Last column: nearest neighbours and their distance in Å.
Positions (direct):
1 Cd 0.5000 0.7500 0.7500  4 Mg 2.90, 2 Cd 2.92, 2 Ta 3.04
2 Ta 0.5000 0.2500 0.2500  2 Ta 2.92, 8 Mg 3.00-3.22, 2 Cd 3.04
3 Mg 0.0000 0.9137 0.0113  3 Mg 2.80-2.92, 2 Cd 2.90, 2 Ta 3.00
4 Mg 0.0000 0.5863 0.4887  3 Mg 2.80-2.92, 2 Cd 2.90, 2 Ta 3.00

DFT total energy   -3.716 eV per atom

---

(19)
VASP calculation (PBE) on an optimized crystal structure of MgTaCd.

Lattice parameters (Å, degrees): 4.6896 4.6896 4.6896 60.00 60.00 60.00
Last column: nearest neighbours and their distance in Å.
Positions (direct):
1 Mg 0.5000 0.5000 0.5000  4 Ta 2.87
2 Cd 0.0000 0.0000 0.0000  4 Ta 2.87
3 Ta 0.2500 0.2500 0.2500  4 Cd 2.87, 4 Mg 2.87

DFT total energy   -3.661 eV per atom

---

(20)
VASP calculation (PBE) on an optimized crystal structure of MgTa2Cd.

Lattice parameters (Å, degrees): 2.8631 4.7174 5.6173 90.00 90.00 90.00
Last column: nearest neighbours and their distance in Å.
Positions (direct):
1 Ta 0.0000 0.0000 0.9965  4 Ta 2.77-2.86, 4 Mg 3.09
2 Ta 0.0000 0.0000 0.5035  4 Ta 2.77-2.86, 4 Mg 3.09
3 Cd 0.5000 0.5000 0.2500  2 Mg 2.81, 2 Cd 2.86, 8 Ta 3.11
4 Mg 0.5000 0.5000 0.7500  2 Cd 2.81, 2 Mg 2.86, 8 Ta 3.09

ΔE to the lowest computed polymorph   208.8 meV/atom

---

no.,total magnetic moment (μB per cell),calculated density (g/cm3)
1,0.0,4.0
2,0.0,3.0
3,0.0,2.4
4,0.0,4.2
5,0.0,5.5
6,0.0,10.1
7,0.0,7.0
8,0.0,9.0
9,0.0,10.8
10,0.0,9.1
11,0.0,7.1
12,0.2,8.7
13,0.0,10.6
14,0.1,7.2
15,0.0,8.9
16,1.0,5.7
17,0.0,9.0
18,0.0,7.1
19,0.0,7.2
20,0.0,10.9